1.
Material: Hg4AsSeCl2
Method: DFT, PBE-GGA
State: optimized geometry

a = 8.7387 Å, b = 8.7387 Å, c = 7.8970 Å
α = 116.72°, β = 116.72°, γ = 99.39°
Atoms (fractional coordinates):
Hg (0.2091, 0.7895, 0.9898)
Hg (0.2105, 0.7909, 0.5102)
Hg (0.2208, 0.2609, 0.4902)
Hg (0.2609, 0.2208, 0.9902)
Hg (0.7391, 0.7792, 0.0098)
Hg (0.7792, 0.7391, 0.5098)
Hg (0.7895, 0.2091, 0.4898)
Hg (0.7909, 0.2105, 0.0102)
As (0.0000, 0.0000, 0.0000)
As (0.0000, 0.0000, 0.5000)
Se (0.0000, 0.5000, 0.5000)
Se (0.5000, 0.0000, 0.0000)
Cl (0.0000, 0.5000, 0.0000)
Cl (0.5000, 0.0000, 0.5000)
Cl (0.5000, 0.5000, 0.0000)
Cl (0.5000, 0.5000, 0.5000)

Values from the calculation:
E_form (uncorrected) ... -151 meV/atom
V ... 26.73 Å³ per atom
Density of states at the Fermi level ... 1.7 states/eV/f.u.

=====

2.
Material: Sm6BiSb2As3
Method: DFT, PBE-GGA
State: optimized geometry

a = 9.7652 Å, b = 9.7652 Å, c = 8.7498 Å
α = 103.69°, β = 103.69°, γ = 25.66°
Atoms (fractional coordinates):
Sm (0.0039, 0.0039, 0.2365)
Sm (0.3279, 0.3279, 0.4250)
Sm (0.3365, 0.3365, 0.9080)
Sm (0.6635, 0.6635, 0.0920)
Sm (0.6721, 0.6721, 0.5750)
Sm (0.9961, 0.9961, 0.7635)
Bi (0.5000, 0.5000, 0.5000)
Sb (0.1664, 0.1664, 0.8328)
Sb (0.8336, 0.8336, 0.1672)
As (0.1665, 0.1665, 0.3327)
As (0.5000, 0.5000, 0.0000)
As (0.8335, 0.8335, 0.6673)

Values from the calculation:
E_form (uncorrected) ... -1293 meV/atom
V ... 29.21 Å³ per atom
Density of states at the Fermi level ... 1.9 states/eV/f.u.